# 1
HfTiI2N | the Alexandria database | PBE | relaxed; energy above the most stable polymorph in this dataset = 52 meV per atom; space group = No. 123; ΔE_f (raw) = 0.28 eV/atom
1.0
-5.671 -0.891 1.034
1.274 -1.868 5.377
-0.332 3.686 1.360
Ti I Hf N
1 2 1 1
direct
0.500 0.500 0.500
0.000 0.500 0.000
0.500 0.000 0.000
0.000 0.000 0.000
0.000 0.000 0.500

***

# 2
HfTiI2N | the Alexandria database | PBE | relaxed; energy above the most stable polymorph in this dataset = 0 meV per atom; space group = No. 123; ΔE_f (raw) = 0.23 eV/atom
1.0
5.632 0.000 0.000
0.000 5.632 0.000
0.000 0.000 3.713
I Ti Hf N
2 1 1 1
direct
0.500 0.000 0.000
0.000 0.500 0.000
0.000 0.000 0.000
0.500 0.500 0.500
0.000 0.000 0.500

***

# 3
HfTiIN2 | the Alexandria database | PBE | relaxed; energy above the most stable polymorph in this dataset = 0 meV per atom; space group = No. 123; ΔE_f (raw) = 0.49 eV/atom
1.0
4.170 0.000 0.000
0.000 4.170 0.000
0.000 0.000 5.678
I N Ti Hf
1 2 1 1
direct
0.000 0.000 0.500
0.500 0.000 0.000
0.000 0.500 0.000
0.500 0.500 0.500
0.000 0.000 0.000

***

# 4
HfTlIN2 | the Alexandria database | PBE | relaxed; energy above the most stable polymorph in this dataset = 1717 meV per atom; space group = No. 123; ΔE_f (raw) = 1.94 eV/atom
1.0
-3.104 -1.290 2.707
1.890 -3.867 0.325
3.089 1.882 4.438
N Hf Tl I
2 1 1 1
direct
0.000 0.500 0.000
0.500 0.000 0.000
0.500 0.500 0.500
0.000 0.000 0.000
0.000 0.000 0.500

***

Question: Number 1 is which compound?
Answer: HfTiI2N

***

Question: energy above the most stable polymorph in this dataset of number 3 (HfTiIN2)?
Answer: 0 meV per atom